(1)
La5PmSm2Tm after structural relaxation. Source: the Alexandria database, functional PBE-GGA.

Unit cell a=9.156 b=9.156 c=15.309 alpha=90.00 beta=90.00 gamma=90.00
Space group I4/mcm (No. 140)
Asymmetric unit:
La: 0.000 0.000 0.000 (multiplicity 4)
La: 0.209 0.291 0.141 (multiplicity 16)
Pm: 0.000 0.000 0.250 (multiplicity 4)
Sm: 0.113 0.387 0.500 (multiplicity 8)
Tm: 0.000 0.500 0.250 (multiplicity 4)

Calculated values
E_form: 0.280 eV/atom



(2)
ScSiPt2 after structural relaxation. Source: the Alexandria database, functional PBE-GGA.

Unit cell a=4.180 b=3.455 c=9.431 alpha=90.00 beta=90.00 gamma=90.00
Space group Amm2 (No. 38)
Asymmetric unit:
Sc: 0.000 0.000 0.000 (multiplicity 2)
Si: 0.500 0.000 0.614 (multiplicity 2)
Pt: 0.000 0.000 0.724 (multiplicity 2)
Pt: 0.500 0.000 0.357 (multiplicity 2)

Calculated values
Raw formation energy: -3.39 eV/f.u.



(3)
TbPmSm2P4 after structural relaxation. Source: the Alexandria database, functional PBE-GGA.

Unit cell a=7.089 b=4.096 c=7.090 alpha=90.00 beta=109.45 gamma=90.00
Space group P2/m (No. 10)
Asymmetric unit:
Tb: 0.000 0.000 0.000 (multiplicity 1)
Pm: 0.500 0.500 0.000 (multiplicity 1)
Sm: 0.000 0.500 0.500 (multiplicity 1)
Sm: 0.500 0.000 0.500 (multiplicity 1)
P: 0.246 0.500 0.247 (multiplicity 2)
P: 0.247 0.000 0.751 (multiplicity 2)

Calculated values
E_form: -1.577 eV/atom



Repeat the third record exactly.
TbPmSm2P4 after structural relaxation. Source: the Alexandria database, functional PBE-GGA.

Unit cell a=7.089 b=4.096 c=7.090 alpha=90.00 beta=109.45 gamma=90.00
Space group P2/m (No. 10)
Asymmetric unit:
Tb: 0.000 0.000 0.000 (multiplicity 1)
Pm: 0.500 0.500 0.000 (multiplicity 1)
Sm: 0.000 0.500 0.500 (multiplicity 1)
Sm: 0.500 0.000 0.500 (multiplicity 1)
P: 0.246 0.500 0.247 (multiplicity 2)
P: 0.247 0.000 0.751 (multiplicity 2)

Calculated values
E_form: -1.577 eV/atom